Arrangement 1

First-principles (GGA-PBE) data for a relaxed structure of GaAg2P2, as listed in Alexandria via LeMat-Bulk. Values from VASP.

Calculated values
- symmetry = I4/mmm (139)
- N(E_F) (states/eV/atom) = 0.473

```
&SYSTEM
  ibrav = 0, nat = 5, ntyp = 3
/
ATOMIC_SPECIES
P 30.97 P.upf
Ag 107.87 Ag.upf
Ga 69.72 Ga.upf
CELL_PARAMETERS angstrom
-0.7444 1.4945 2.8178
-3.1740 -0.6325 -0.5030
-1.1568 -6.8245 5.2177
ATOMIC_POSITIONS crystal
P 0.2500 0.7500 0.5000
P 0.7500 0.2500 0.5000
Ag 0.5982 0.5982 0.8036
Ag 0.4018 0.4018 0.1964
Ga 0.0000 0.0000 0.0000
```


Arrangement 2

First-principles (GGA-PBE) data for a relaxed structure of GaAg2P2, as listed in Alexandria via LeMat-Bulk. Values from VASP.

Calculated values
- symmetry = P4/mbm (127)
- N(E_F) (states/eV/atom) = 0.341

```
&SYSTEM
  ibrav = 0, nat = 10, ntyp = 3
/
ATOMIC_SPECIES
Ga 69.72 Ga.upf
P 30.97 P.upf
Ag 107.87 Ag.upf
CELL_PARAMETERS angstrom
8.0324 0.0000 0.0000
0.0000 8.0324 0.0000
0.0000 0.0000 2.7938
ATOMIC_POSITIONS crystal
Ga 0.5000 0.5000 0.0000
Ga 0.0000 0.0000 0.0000
P 0.8377 0.6623 0.0000
P 0.6623 0.1623 0.0000
P 0.1623 0.3377 0.0000
P 0.3377 0.8377 0.0000
Ag 0.6384 0.8616 0.5000
Ag 0.8616 0.3616 0.5000
Ag 0.1384 0.6384 0.5000
Ag 0.3616 0.1384 0.5000
```


Energy relative to the most stable one, in meV/atom: arrangement 1 0; arrangement 2 55


Arrangement 1

First-principles (GGA-PBE) data for a relaxed structure of Ga2AgP2, as listed in Alexandria via LeMat-Bulk. Values from VASP.

Calculated values
- symmetry = I4/mmm (139)
- N(E_F) (states/eV/atom) = 0.570

```
&SYSTEM
  ibrav = 0, nat = 5, ntyp = 3
/
ATOMIC_SPECIES
Ag 107.87 Ag.upf
Ga 69.72 Ga.upf
P 30.97 P.upf
CELL_PARAMETERS angstrom
-3.1032 2.5736 2.6194
-2.9857 -3.7649 0.1620
-1.2507 -1.8727 4.7705
ATOMIC_POSITIONS crystal
Ag 0.0000 0.0000 0.0000
Ga 0.3443 0.3443 0.3114
Ga 0.6557 0.6557 0.6886
P 0.7500 0.2500 0.5000
P 0.2500 0.7500 0.5000
```


Arrangement 2

First-principles (GGA-PBE) data for a relaxed structure of Ga2AgP2, as listed in Alexandria via LeMat-Bulk. Values from VASP.

Calculated values
- symmetry = P4/mbm (127)
- N(E_F) (states/eV/atom) = 0.458

```
&SYSTEM
  ibrav = 0, nat = 10, ntyp = 3
/
ATOMIC_SPECIES
Ag 107.87 Ag.upf
P 30.97 P.upf
Ga 69.72 Ga.upf
CELL_PARAMETERS angstrom
7.3789 0.0000 0.0000
0.0000 7.3789 0.0000
0.0000 0.0000 3.7513
ATOMIC_POSITIONS crystal
Ag 0.5000 0.5000 0.0000
Ag 0.0000 0.0000 0.0000
P 0.2558 0.7558 0.0000
P 0.2442 0.2558 0.0000
P 0.7442 0.2442 0.0000
P 0.7558 0.7442 0.0000
Ga 0.3802 0.1198 0.5000
Ga 0.8802 0.3802 0.5000
Ga 0.1198 0.6198 0.5000
Ga 0.6198 0.8802 0.5000
```


Energy relative to the most stable one, in meV/atom: arrangement 1 111; arrangement 2 0